1.
The following is a PBE calculation of an optimized crystal structure of H5Se2I2, from Alexandria via LeMat-Bulk.

Unit cell a=10.5717 b=10.5717 c=10.5717 alpha=54.10 beta=147.07 gamma=138.34
Last column: nearest neighbours and their distance in Å.
Fractional positions:
H: 0.0167 0.5384 0.8598  1 Se 1.62
H: 0.0167 0.6569 0.9784  1 Se 1.62
H: 0.0731 0.0506 0.1236  1 Se 1.50
H: 0.0731 0.4494 0.5225  1 Se 1.50
H: 0.6124 0.4070 0.7054  1 Se 1.49
H: 0.6786 0.0384 0.0216  1 Se 1.62
H: 0.6786 0.1569 0.1402  1 Se 1.62
H: 0.7016 0.9070 0.2946  1 Se 1.49
H: 0.9269 0.5506 0.4775  1 Se 1.50
H: 0.9269 0.9494 0.8764  1 Se 1.50
Se: 0.8269 0.6045 0.7224  3 H 1.49-1.62
Se: 0.8580 0.3580 0.5000  2 H 1.50
Se: 0.8580 0.8580 0.0000  2 H 1.50
Se: 0.8822 0.1045 0.2776  3 H 1.49-1.62
I: 0.2901 0.4628 0.0627  1 H 2.15
I: 0.2901 0.7275 0.3274  1 H 2.15
I: 0.4001 0.2275 0.9373  1 H 2.15
I: 0.4001 0.9628 0.6726  1 H 2.15

Summary:
For the total energy, the calculation gives -0.215 Ry per atom.

***

2.
The following is a PBE calculation of an optimized crystal structure of KCrSe2, from Alexandria via LeMat-Bulk.

Unit cell a=3.6969 b=6.9904 c=8.7063 alpha=90.00 beta=90.00 gamma=90.00
Last column: nearest neighbours and their distance in Å.
Fractional positions:
K: 0.0000 0.0000 0.0000  4 Se 3.29
K: 0.5000 0.5000 0.5000  4 Se 3.29
Cr: 0.0000 0.0000 0.5000  4 Se 2.47
Cr: 0.5000 0.5000 0.0000  4 Se 2.47
Se: 0.0000 0.5000 0.1874  2 Cr 2.47
Se: 0.0000 0.5000 0.8126  2 Cr 2.47
Se: 0.5000 0.0000 0.3126  2 Cr 2.47
Se: 0.5000 0.0000 0.6874  2 Cr 2.47

Summary:
For the uncorrected formation energy, the calculation gives -0.559 eV per atom.

***

3.
The following is a PBE calculation of an optimized crystal structure of Tl2TcAs, from Alexandria via LeMat-Bulk.

Unit cell a=6.0910 b=9.6584 c=3.1887 alpha=90.00 beta=109.66 gamma=90.00
Last column: nearest neighbours and their distance in Å.
Fractional positions:
Tl: 0.2500 0.2500 0.0000  2 Tc 3.01, 2 As 3.01, 4 Tl 3.05-3.19
Tl: 0.2500 0.7500 0.0000  2 Tc 3.01, 2 As 3.01, 4 Tl 3.05-3.19
Tl: 0.7500 0.2500 0.0000  2 As 3.01, 2 Tc 3.01, 4 Tl 3.05-3.19
Tl: 0.7500 0.7500 0.0000  2 Tc 3.01, 2 As 3.01, 4 Tl 3.05-3.19
Tc: 0.0000 0.0000 0.5000  4 Tl 3.01, 2 As 3.05, 2 Tc 3.19
Tc: 0.5000 0.5000 0.5000  4 Tl 3.01, 2 As 3.05, 2 Tc 3.19
As: 0.0000 0.5000 0.5000  4 Tl 3.01, 2 Tc 3.05, 2 As 3.19
As: 0.5000 0.0000 0.5000  4 Tl 3.01, 2 Tc 3.05, 2 As 3.19

Summary:
As for the formation energy: 0.79 eV per atom.

***

4.
The following is a PBE calculation of an optimized crystal structure of Y4HoTl, from Alexandria via LeMat-Bulk.

Unit cell a=3.6060 b=3.6060 c=14.1930 alpha=90.00 beta=90.00 gamma=90.00
Last column: nearest neighbours and their distance in Å.
Fractional positions:
Y: 0.0000 0.0000 0.1479  4 Tl 3.30, 8 Y 3.59-3.61
Y: 0.0000 0.0000 0.8521  4 Tl 3.30, 8 Y 3.59-3.61
Y: 0.5000 0.5000 0.3258  4 Ho 3.55, 8 Y 3.59-3.61
Y: 0.5000 0.5000 0.6742  4 Ho 3.55, 8 Y 3.59-3.61
Ho: 0.0000 0.0000 0.5000  8 Y 3.55, 4 Ho 3.61
Tl: 0.5000 0.5000 0.0000  8 Y 3.30, 4 Tl 3.61

Summary:
As for the formation energy: -0.12 eV per atom.

***

5.
The following is a PBE calculation of an optimized crystal structure of Cu3Au5, from Alexandria via LeMat-Bulk.

Unit cell a=7.6124 b=7.6124 c=7.4548 alpha=95.75 beta=95.75 gamma=140.92
Last column: nearest neighbours and their distance in Å.
Fractional positions:
Cu: 0.1652 0.8348 0.0000  8 Au 2.69-2.79
Cu: 0.2441 0.2441 0.6769  8 Au 2.65-2.79
Cu: 0.2457 0.7543 0.5000  2 Cu 2.55, 8 Au 2.64-2.74
Cu: 0.7543 0.2457 0.5000  2 Cu 2.55, 8 Au 2.64-2.74
Cu: 0.7559 0.7559 0.3231  8 Au 2.65-2.79
Cu: 0.8348 0.1652 0.0000  8 Au 2.69-2.79
Au: 0.1082 0.3129 0.3697  5 Cu 2.64-2.79, 3 Au 2.86-2.94
Au: 0.2049 0.5569 0.8014  5 Cu 2.68-2.77, 2 Au 2.84-2.94
Au: 0.2754 0.2754 0.0570  4 Cu 2.65-2.79, 4 Au 2.67-2.86
Au: 0.3129 0.1082 0.3697  5 Cu 2.64-2.79, 3 Au 2.86-2.94
Au: 0.4431 0.7951 0.1986  5 Cu 2.68-2.77, 2 Au 2.84-2.94
Au: 0.5569 0.2049 0.8014  5 Cu 2.68-2.77, 2 Au 2.84-2.94
Au: 0.6871 0.8918 0.6303  5 Cu 2.64-2.79, 3 Au 2.86-2.94
Au: 0.7246 0.7246 0.9430  4 Cu 2.65-2.79, 4 Au 2.67-2.86
Au: 0.7951 0.4431 0.1986  5 Cu 2.68-2.77, 2 Au 2.84-2.94
Au: 0.8918 0.6871 0.6303  5 Cu 2.64-2.79, 3 Au 2.86-2.94

Summary:
As for the formation energy: 0.04 eV per atom.

***

6.
The following is a PBE calculation of an optimized crystal structure of Ba2HfC, from Alexandria via LeMat-Bulk.

Unit cell a=11.5461 b=11.5461 c=4.3252 alpha=90.00 beta=90.00 gamma=90.00
Last column: nearest neighbours and their distance in Å.
Fractional positions:
Ba: 0.0817 0.2500 0.1250  2 C 3.08, 2 Hf 3.44
Ba: 0.2500 0.5817 0.3750  2 C 3.08, 2 Hf 3.44
Ba: 0.2500 0.9183 0.8750  2 C 3.08, 2 Hf 3.44
Ba: 0.4183 0.2500 0.6250  2 C 3.08, 2 Hf 3.44
Ba: 0.5817 0.7500 0.6250  2 C 3.08, 2 Hf 3.44
Ba: 0.7500 0.0817 0.8750  2 C 3.08, 2 Hf 3.44
Ba: 0.7500 0.4183 0.3750  2 C 3.08, 2 Hf 3.44
Ba: 0.9183 0.7500 0.1250  2 C 3.08, 2 Hf 3.44
Hf: 0.0000 0.0000 0.5000  2 C 2.16
Hf: 0.0000 0.5000 0.7500  2 C 2.16
Hf: 0.5000 0.0000 0.2500  2 C 2.16
Hf: 0.5000 0.5000 0.0000  2 C 2.16
C: 0.0000 0.0000 0.0000  2 Hf 2.16
C: 0.0000 0.5000 0.2500  2 Hf 2.16
C: 0.5000 0.0000 0.7500  2 Hf 2.16
C: 0.5000 0.5000 0.5000  2 Hf 2.16

Summary:
As for the formation energy: 0.51 eV per atom.

***

7.
The following is a PBE calculation of an optimized crystal structure of Zn3NiAu, from Alexandria via LeMat-Bulk.

Unit cell a=4.8296 b=4.8296 c=4.8296 alpha=90.00 beta=90.00 gamma=90.00
Last column: nearest neighbours and their distance in Å.
Fractional positions:
Zn: 0.0000 0.0000 0.5000  2 Au 2.41
Zn: 0.0000 0.5000 0.0000  2 Au 2.41
Zn: 0.5000 0.0000 0.0000  2 Au 2.41
Ni: 0.5000 0.5000 0.5000  12 Zn 3.42
Au: 0.0000 0.0000 0.0000  6 Zn 2.41

Summary:
As for the formation energy: 0.67 eV per atom.

***

8.
The following is a PBE calculation of an optimized crystal structure of Tb2ThFe, from Alexandria via LeMat-Bulk.

Unit cell a=3.4594 b=3.4594 c=8.7022 alpha=90.00 beta=90.00 gamma=90.00
Last column: nearest neighbours and their distance in Å.
Fractional positions:
Tb: 0.0000 0.0000 0.1897  4 Fe 2.95, 1 Tb 3.30
Tb: 0.0000 0.0000 0.8103  4 Fe 2.95, 1 Tb 3.30
Th: 0.5000 0.5000 0.5000  4 Th 3.46, 8 Tb 3.64
Fe: 0.5000 0.5000 0.0000  8 Tb 2.95

Summary:
As for the formation energy: 0.14 eV per atom.

***

9.
The following is a PBE calculation of an optimized crystal structure of RbPdBr, from Alexandria via LeMat-Bulk.

Unit cell a=7.3336 b=7.3336 c=7.3336 alpha=90.00 beta=90.00 gamma=90.00
Last column: nearest neighbours and their distance in Å.
Fractional positions:
Rb: 0.0000 0.0000 0.0000  4 Br 3.18
Rb: 0.0000 0.5000 0.5000  4 Br 3.18
Rb: 0.5000 0.0000 0.5000  4 Br 3.18
Rb: 0.5000 0.5000 0.0000  4 Br 3.18
Pd: 0.0000 0.0000 0.5000  4 Br 3.18
Pd: 0.0000 0.5000 0.0000  4 Br 3.18
Pd: 0.5000 0.0000 0.0000  4 Br 3.18
Pd: 0.5000 0.5000 0.5000  4 Br 3.18
Br: 0.2500 0.2500 0.2500  4 Rb 3.18, 4 Pd 3.18
Br: 0.2500 0.7500 0.7500  4 Rb 3.18, 4 Pd 3.18
Br: 0.7500 0.2500 0.7500  4 Rb 3.18, 4 Pd 3.18
Br: 0.7500 0.7500 0.2500  4 Rb 3.18, 4 Pd 3.18

Summary:
For the uncorrected formation energy, the calculation gives -0.259 eV per atom.

***

10.
The following is a PBE calculation of an optimized crystal structure of Cr3SnS, from Alexandria via LeMat-Bulk.

Unit cell a=4.2135 b=4.2135 c=4.2135 alpha=90.00 beta=90.00 gamma=90.00
Last column: nearest neighbours and their distance in Å.
Fractional positions:
Cr: 0.0000 0.0000 0.5000  2 S 2.11
Cr: 0.0000 0.5000 0.0000  2 S 2.11
Cr: 0.5000 0.0000 0.0000  2 S 2.11
Sn: 0.5000 0.5000 0.5000  12 Cr 2.98
S: 0.0000 0.0000 0.0000  6 Cr 2.11

Summary:
For the uncorrected formation energy, the calculation gives 0.257 eV per atom.

***

Number 1: D(E_F) 0.65 states/eV/f.u., calculated volume 23.6 A^3/atom. Number 2: D(E_F) 1.29 states/eV/f.u., calculated volume 28.1 A^3/atom. Number 3: D(E_F) 3.00 states/eV/f.u., calculated volume 22.1 A^3/atom. Number 4: D(E_F) 7.08 states/eV/f.u., calculated volume 30.8 A^3/atom. Number 5: D(E_F) 3.09 states/eV/f.u., calculated volume 16.2 A^3/atom. Number 6: D(E_F) 5.45 states/eV/f.u., calculated volume 36.0 A^3/atom. Number 7: D(E_F) 3.98 states/eV/f.u., calculated volume 22.5 A^3/atom. Number 8: D(E_F) 7.09 states/eV/f.u., calculated volume 26.0 A^3/atom. Number 9: D(E_F) 0.19 states/eV/f.u., calculated volume 32.9 A^3/atom. Number 10: D(E_F) 4.89 states/eV/f.u., calculated volume 15.0 A^3/atom.